1.
Below is an optimized crystal structure of YSbAs2, with properties calculated at the PBE-GGA level.

Properties
The value obtained for the uncorrected formation energy is -0.1287 eV per atom. The density of states at the Fermi level is 3.53 states/eV per cell. For the theoretical density, the calculation gives 6.3 Mg/m³. The uncorrected energy is -5.1001 eV per atom.

```
4
Lattice="0.000 3.628 3.628 3.628 0.000 3.628 3.628 3.628 0.000" Properties=species:S:1:pos:R:3 pbc="T T T"
Y 0.000 0.000 0.000
Sb 5.441 5.441 5.441
As 1.814 1.814 1.814
As 3.628 3.628 3.628
```

***

2.
Below is an optimized crystal structure of RbSrVI2, with properties calculated at the PBE-GGA level.

Properties
The value obtained for the uncorrected formation energy is 0.5435 eV per atom. The density of states at the Fermi level is 1.73 states/eV per cell. For the theoretical density, the calculation gives 2.5 Mg/m³. The uncorrected energy is -2.4302 eV per atom.

```
5
Lattice="6.526 0.000 0.000 0.000 6.526 0.000 0.000 0.000 7.310" Properties=species:S:1:pos:R:3 pbc="T T T"
Rb 0.000 0.000 0.000
Sr 0.000 0.000 3.655
V 3.263 3.263 3.655
I 0.000 3.263 0.000
I 3.263 0.000 0.000
```

***

3.
Below is an optimized crystal structure of SmSi2W, with properties calculated at the PBE-GGA level.

Properties
The value obtained for the uncorrected formation energy is -0.1513 eV per atom. The density of states at the Fermi level is 2.52 states/eV per cell. For the theoretical density, the calculation gives 8.2 Mg/m³. The uncorrected energy is -7.2809 eV per atom.

```
4
Lattice="1.918 1.108 6.234 -1.918 1.108 6.234 0.000 -2.215 6.234" Properties=species:S:1:pos:R:3 pbc="T T T"
Sm 0.000 0.000 0.000
Si 0.000 0.000 4.354
Si 0.000 0.000 14.349
W 0.000 0.000 9.351
```

***

4.
Below is an optimized crystal structure of KRuCl2, with properties calculated at the PBE-GGA level.

Properties
The value obtained for the uncorrected formation energy is -0.2774 eV per atom. Its offset from the most stable computed form is 0.804 eV/f.u. The density of states at the Fermi level is 2.57 states/eV per cell. For the theoretical density, the calculation gives 3.2 Mg/m³. The uncorrected energy is -3.7941 eV per atom.

```
4
Lattice="1.897 -3.838 0.000 1.897 3.838 0.000 0.000 0.000 7.475" Properties=species:S:1:pos:R:3 pbc="T T T"
K 0.000 0.000 0.000
Ru 0.000 0.000 3.737
Cl 1.897 0.000 2.236
Cl 1.897 0.000 5.239
```

***

5.
Below is an optimized crystal structure of Hf4AlZn, with properties calculated at the PBE-GGA level.

Properties
Its offset from the most stable computed form is 0.000 eV/f.u. The formation energy comes out at -1.3 eV per formula unit. The density of states at the Fermi level is 4.08 states/eV per cell. For the theoretical density, the calculation gives 11.1 Mg/m³. The uncorrected energy is -7.6819 eV per atom.

```
6
Lattice="5.792 -1.644 0.000 5.792 1.644 0.000 -1.888 0.000 6.341" Properties=species:S:1:pos:R:3 pbc="T T T"
Hf 1.198 0.000 2.128
Hf 0.322 0.000 5.232
Hf 9.374 0.000 1.109
Hf 8.498 0.000 4.213
Al 5.792 0.000 0.000
Zn 4.848 0.000 3.171
```

***

6.
Below is an optimized crystal structure of Zn2Cu3Pt3, with properties calculated at the PBE-GGA level.

Properties
The formation energy comes out at -2.7 eV per formula unit. The density of states at the Fermi level is 1.89 states/eV per cell. For the theoretical density, the calculation gives 13.6 Mg/m³. The uncorrected energy is -4.4629 eV per atom.

```
8
Lattice="3.889 0.000 0.000 0.000 3.962 0.000 0.000 0.000 7.204" Properties=species:S:1:pos:R:3 pbc="T T T"
Zn 0.000 0.000 1.789
Zn 0.000 0.000 5.415
Cu 0.000 1.981 0.000
Cu 1.945 1.981 1.764
Cu 1.945 1.981 5.440
Pt 0.000 1.981 3.602
Pt 1.945 0.000 0.000
Pt 1.945 0.000 3.602
```

***

7.
Below is an optimized crystal structure of TaTe2As, with properties calculated at the PBE-GGA level.

Properties
The value obtained for the uncorrected formation energy is 0.1009 eV per atom. The density of states at the Fermi level is 2.38 states/eV per cell. For the theoretical density, the calculation gives 8.1 Mg/m³. The uncorrected energy is -5.5954 eV per atom.

```
4
Lattice="1.784 1.030 9.525 -1.784 1.030 9.525 0.000 -2.059 9.525" Properties=species:S:1:pos:R:3 pbc="T T T"
Ta 0.000 0.000 0.000
Te 0.000 0.000 11.414
Te 0.000 0.000 17.162
As 0.000 0.000 14.288
```

***

8.
Below is an optimized crystal structure of TmBe2Pd8, with properties calculated at the PBE-GGA level.

Properties
The formation energy comes out at -5.4 eV per formula unit. The density of states at the Fermi level is 5.28 states/eV per cell. For the theoretical density, the calculation gives 10.4 Mg/m³. The uncorrected energy is -5.3493 eV per atom.

```
11
Lattice="3.648 -5.320 0.000 3.648 5.320 0.000 -1.215 0.000 4.288" Properties=species:S:1:pos:R:3 pbc="T T T"
Tm 0.000 0.000 0.000
Be 3.041 1.967 2.144
Be 3.041 -1.967 2.144
Pd 0.740 1.386 2.530
Pd 3.648 2.581 0.000
Pd 0.740 -1.386 2.530
Pd 2.634 0.000 0.853
Pd 3.447 0.000 3.436
Pd 5.341 1.386 1.759
Pd 3.648 -2.581 0.000
Pd 5.341 -1.386 1.759
```

***

What is the formula in the fourth record? KRuCl2

***

uncorrected energy of number 8 (TmBe2Pd8)? -5.3493 eV per atom

***

Copy entry 4 word for word.
Below is an optimized crystal structure of KRuCl2, with properties calculated at the PBE-GGA level.

Properties
The value obtained for the uncorrected formation energy is -0.2774 eV per atom. Its offset from the most stable computed form is 0.804 eV/f.u. The density of states at the Fermi level is 2.57 states/eV per cell. For the theoretical density, the calculation gives 3.2 Mg/m³. The uncorrected energy is -3.7941 eV per atom.

```
4
Lattice="1.897 -3.838 0.000 1.897 3.838 0.000 0.000 0.000 7.475" Properties=species:S:1:pos:R:3 pbc="T T T"
K 0.000 0.000 0.000
Ru 0.000 0.000 3.737
Cl 1.897 0.000 2.236
Cl 1.897 0.000 5.239
```